No. 1
Compound: SbRh2W
Source: Alexandria
Functional: PBE-GGA
Structure: relaxed

a b c (Å): 9.0288 3.0077 4.8747
angles (deg): 90.00 98.97 90.00
Space group C2/m (No. 12)
Unique sites:
Sb (0.0000, 0.0000, 0.0000) [2 per cell]
Rh (0.2461, 0.0000, 0.7344) [4 per cell]
W (0.0000, 0.5000, 0.5000) [2 per cell]

Results
Crystal system: monoclinic
Spin magnetization: 0.0 μB per formula unit
Uncorrected energy: -7.88 eV/atom
Formation energy (no corrections): 66 meV/atom
Calculated density: 12.99 g/cm3

***

No. 2
Compound: Re3TcCl
Source: Alexandria
Functional: PBE-GGA
Structure: relaxed

a b c (Å): 4.7623 4.7623 4.7623
angles (deg): 90.00 90.00 90.00
Space group Pm-3m (No. 221)
Unique sites:
Re (0.0000, 0.0000, 0.5000) [3 per cell]
Tc (0.0000, 0.0000, 0.0000) [1 per cell]
Cl (0.5000, 0.5000, 0.5000) [1 per cell]

Results
Crystal system: cubic
Spin magnetization: 3.8 μB per formula unit
Uncorrected energy: -7.48 eV/atom
Formation energy (no corrections): 2432 meV/atom
Calculated density: 10.64 g/cm3

***

No. 3
Compound: KHS3
Source: Alexandria
Functional: PBE-GGA
Structure: relaxed

a b c (Å): 4.3634 4.3634 4.3634
angles (deg): 90.00 90.00 90.00
Space group Pm-3m (No. 221)
Unique sites:
K (0.0000, 0.0000, 0.0000) [1 per cell]
H (0.5000, 0.5000, 0.5000) [1 per cell]
S (0.0000, 0.5000, 0.5000) [3 per cell]

Results
Crystal system: cubic
Spin magnetization: 0.0 μB per formula unit
Uncorrected energy: -2.85 eV/atom
Calculated density: 2.72 g/cm3

***

No. 4
Compound: Ga2Pb2Se
Source: Alexandria
Functional: PBE-GGA
Structure: relaxed

a b c (Å): 4.7855 4.7855 11.9253
angles (deg): 90.00 90.00 90.00
Space group I4/mmm (No. 139)
Unique sites:
Ga (0.0000, 0.0000, 0.1004) [4 per cell]
Pb (0.0000, 0.5000, 0.2500) [4 per cell]
Se (0.0000, 0.0000, 0.5000) [2 per cell]

Results
Crystal system: tetragonal
Spin magnetization: 0.0 μB per formula unit
Uncorrected energy: -3.21 eV/atom
Formation energy (no corrections): 182 meV/atom
Calculated density: 7.70 g/cm3

***

No. 5
Compound: YH2O
Source: Alexandria
Functional: PBE-GGA
Structure: relaxed

a b c (Å): 3.2384 3.2384 17.4649
angles (deg): 90.00 90.00 90.00
Space group I4_1/amd (No. 141, origin choice 2)
Unique sites:
Y (0.0000, 0.2500, 0.3750) [4 per cell]
H (0.0000, 0.0000, 0.5000) [8 per cell]
O (0.0000, 0.2500, 0.8750) [4 per cell]

Results
Crystal system: tetragonal
Spin magnetization: 0.0 μB per formula unit
Uncorrected energy: -5.69 eV/atom
Calculated density: 3.88 g/cm3

***

No. 6
Compound: CaTlAg
Source: Alexandria
Functional: PBE-GGA
Structure: relaxed

a b c (Å): 3.8909 3.8909 10.0608
angles (deg): 90.00 90.00 90.00
Space group I4mm (No. 107)
Unique sites:
Ca (0.0000, 0.0000, 0.0000) [2 per cell]
Tl (0.0000, 0.0000, 0.6829) [2 per cell]
Ag (0.0000, 0.0000, 0.3341) [2 per cell]

Results
Crystal system: tetragonal
Energy of formation from the pure elements: -0.8 eV/f.u.
Spin magnetization: 0.0 μB per formula unit
Uncorrected energy: -2.66 eV/atom
Calculated density: 7.68 g/cm3

***

No. 7
Compound: LaLuInRu
Source: Alexandria
Functional: PBE-GGA
Structure: relaxed

a b c (Å): 7.2771 7.2771 7.2771
angles (deg): 90.00 90.00 90.00
Space group F-43m (No. 216)
Unique sites:
La (0.0000, 0.0000, 0.0000) [4 per cell]
Lu (0.0000, 0.0000, 0.5000) [4 per cell]
In (0.2500, 0.2500, 0.7500) [4 per cell]
Ru (0.2500, 0.2500, 0.2500) [4 per cell]

Results
Crystal system: cubic
Energy of formation from the pure elements: -1.0 eV/f.u.
Spin magnetization: 0.0 μB per formula unit
Uncorrected energy: -5.62 eV/atom
Calculated density: 9.13 g/cm3

***

No. 8
Compound: Sm6Ga2Hg
Source: Alexandria
Functional: PBE-GGA
Structure: relaxed

a b c (Å): 5.0700 7.2517 15.3061
angles (deg): 90.00 90.00 90.00
Space group Immm (No. 71)
Unique sites:
Sm (0.0000, 0.2419, 0.0000) [4 per cell]
Sm (0.0000, 0.2524, 0.3307) [8 per cell]
Ga (0.0000, 0.0000, 0.1677) [4 per cell]
Hg (0.0000, 0.0000, 0.5000) [2 per cell]

Results
Crystal system: orthorhombic
Energy of formation from the pure elements: -1.7 eV/f.u.
Spin magnetization: 0.0 μB per formula unit
Uncorrected energy: -4.04 eV/atom
Calculated density: 7.33 g/cm3

***

No. 9
Compound: Sc2TiGa2Co5
Source: Alexandria
Functional: PBE-GGA
Structure: relaxed

a b c (Å): 9.2538 9.2538 3.2662
angles (deg): 90.00 90.00 90.00
Space group P4/mbm (No. 127)
Unique sites:
Sc (0.1704, 0.3296, 0.0000) [4 per cell]
Ti (0.0000, 0.0000, 0.0000) [2 per cell]
Ga (0.1277, 0.6277, 0.0000) [4 per cell]
Co (0.0000, 0.5000, 0.5000) [2 per cell]
Co (0.0626, 0.8011, 0.5000) [8 per cell]

Results
Crystal system: tetragonal
Energy of formation from the pure elements: -3.2 eV/f.u.
Spin magnetization: 0.0 μB per formula unit
Uncorrected energy: -6.53 eV/atom
Calculated density: 6.79 g/cm3

***

No. 10
Compound: SrMn2Ir
Source: Alexandria
Functional: PBE-GGA
Structure: relaxed

a b c (Å): 6.3214 6.3214 6.3214
angles (deg): 90.00 90.00 90.00
Space group Fm-3m (No. 225)
Unique sites:
Sr (0.0000, 0.0000, 0.0000) [4 per cell]
Mn (0.2500, 0.2500, 0.2500) [8 per cell]
Ir (0.0000, 0.0000, 0.5000) [4 per cell]

Results
Crystal system: cubic
Energy of formation from the pure elements: 4.0 eV/f.u.
Spin magnetization: 0.0 μB per formula unit
Uncorrected energy: -6.22 eV/atom
Calculated density: 10.25 g/cm3

***

No. 11
Compound: La4SiTe2S
Source: Alexandria
Functional: PBE-GGA
Structure: relaxed

a b c (Å): 7.5623 4.3988 7.8730
angles (deg): 90.00 108.94 90.00
Space group P2/m (No. 10)
Unique sites:
La (0.2399, 0.0000, 0.2211) [2 per cell]
La (0.2588, 0.5000, 0.7816) [2 per cell]
Si (0.0000, 0.5000, 0.0000) [1 per cell]
Te (0.0000, 0.0000, 0.5000) [1 per cell]
Te (0.5000, 0.5000, 0.5000) [1 per cell]
S (0.5000, 0.0000, 0.0000) [1 per cell]

Results
Crystal system: monoclinic
Spin magnetization: 0.0 μB per formula unit
Uncorrected energy: -6.00 eV/atom
Formation energy (no corrections): -1553 meV/atom
Calculated density: 5.84 g/cm3

***

No. 12
Compound: Re3As
Source: Alexandria
Functional: PBE-GGA
Structure: relaxed

a b c (Å): 3.8097 3.8097 8.2554
angles (deg): 90.00 90.00 90.00
Space group I4/mmm (No. 139)
Unique sites:
Re (0.0000, 0.0000, 0.0000) [2 per cell]
Re (0.0000, 0.5000, 0.2500) [4 per cell]
As (0.0000, 0.0000, 0.5000) [2 per cell]

Results
Crystal system: tetragonal
Energy of formation from the pure elements: 2.2 eV/f.u.
Spin magnetization: 0.0 μB per formula unit
Uncorrected energy: -9.94 eV/atom
Calculated density: 17.56 g/cm3